Entry 1:
# LiZn2Cd, relaxed, DFT PBE
data_LiZn2Cd
_chemical_formula_sum 'Li2 Zn4 Cd2'
_symmetry_space_group_name_H-M 'I -4 m 2'
_symmetry_Int_Tables_number 119
_symmetry_space_group_name_Hall 'I -4 -2'
_cell_length_a 4.482
_cell_length_b 4.482
_cell_length_c 6.491
_cell_angle_alpha 90.00
_cell_angle_beta 90.00
_cell_angle_gamma 90.00
loop_
_atom_site_label
_atom_site_type_symbol
_atom_site_fract_x
_atom_site_fract_y
_atom_site_fract_z
Li1 Li 0.000 0.000 0.000
Zn1 Zn 0.000 0.000 0.500
Zn2 Zn 0.000 0.500 0.250
Cd1 Cd 0.000 0.500 0.750
# Density of states at the Fermi level: 1.01 states/eV/f.u.
# E_tot: -1.48 eV per atom

=====

Entry 2:
# GaHg2AuI, relaxed, DFT PBE
data_GaHg2AuI
_chemical_formula_sum 'Ga1 Hg2 Au1 I1'
_symmetry_space_group_name_H-M 'P 4/m m m'
_symmetry_Int_Tables_number 123
_symmetry_space_group_name_Hall '-P 4 2'
_cell_length_a 5.490
_cell_length_b 5.490
_cell_length_c 5.124
_cell_angle_alpha 90.00
_cell_angle_beta 90.00
_cell_angle_gamma 90.00
loop_
_atom_site_label
_atom_site_type_symbol
_atom_site_fract_x
_atom_site_fract_y
_atom_site_fract_z
Ga1 Ga 0.000 0.000 0.000
Hg1 Hg 0.000 0.500 0.500
Au1 Au 0.000 0.000 0.500
I1 I 0.500 0.500 0.000
# Density of states at the Fermi level: 1.28 states/eV/f.u.
# E_form (uncorrected): -0.09 eV per atom
# E_tot: -1.79 eV per atom

=====

Entry 3:
# BiSbCl2, relaxed, DFT PBE
data_BiSbCl2
_chemical_formula_sum 'Bi3 Sb3 Cl6'
_symmetry_space_group_name_H-M 'R -3 m'
_symmetry_Int_Tables_number 166
_symmetry_space_group_name_Hall '-R 3 2"'
_cell_length_a 3.4829
_cell_length_b 3.4829
_cell_length_c 30.6435
_cell_angle_alpha 90.00
_cell_angle_beta 90.00
_cell_angle_gamma 120.00
loop_
_atom_site_label
_atom_site_type_symbol
_atom_site_fract_x
_atom_site_fract_y
_atom_site_fract_z
Bi1 Bi 0.0000 0.0000 0.0000
Sb1 Sb 0.0000 0.0000 0.5000
Cl1 Cl 0.0000 0.0000 0.4133
# Density of states at the Fermi level: 1.52 states/eV/f.u.
# E_form (uncorrected): -0.34 eV per atom
# E_tot: -3.27 eV per atom
# Polymorph energy (0 for the lowest one): 144 meV per atom

=====

Entry 4:
# Zr2BeSi, relaxed, DFT PBE
data_Zr2BeSi
_chemical_formula_sum 'Zr4 Be2 Si2'
_symmetry_space_group_name_H-M 'I m m 2'
_symmetry_Int_Tables_number 44
_symmetry_space_group_name_Hall 'I 2 -2'
_cell_length_a 3.557
_cell_length_b 4.079
_cell_length_c 9.466
_cell_angle_alpha 90.00
_cell_angle_beta 90.00
_cell_angle_gamma 90.00
loop_
_atom_site_label
_atom_site_type_symbol
_atom_site_fract_x
_atom_site_fract_y
_atom_site_fract_z
Zr1 Zr 0.000 0.000 0.000
Zr2 Zr 0.000 0.500 0.236
Be1 Be 0.000 0.500 0.785
Si1 Si 0.000 0.000 0.447
# Density of states at the Fermi level: 2.22 states/eV/f.u.
# E_form (uncorrected): -0.36 eV per atom
# E_tot: -6.92 eV per atom
# Polymorph energy (0 for the lowest one): 289 meV per atom

=====

Entry 5:
# Ti7Ir3Rh2, relaxed, DFT PBE
data_Ti7Ir3Rh2
_chemical_formula_sum 'Ti14 Ir6 Rh4'
_symmetry_space_group_name_H-M 'C m m m'
_symmetry_Int_Tables_number 65
_symmetry_space_group_name_Hall '-C 2 2'
_cell_length_a 4.400
_cell_length_b 22.005
_cell_length_c 4.145
_cell_angle_alpha 90.00
_cell_angle_beta 90.00
_cell_angle_gamma 90.00
loop_
_atom_site_label
_atom_site_type_symbol
_atom_site_fract_x
_atom_site_fract_y
_atom_site_fract_z
Ti1 Ti 0.000 0.000 0.000
Ti2 Ti 0.000 0.082 0.500
Ti3 Ti 0.000 0.286 0.000
Ti4 Ti 0.000 0.427 0.000
Ir1 Ir 0.000 0.351 0.500
Ir2 Ir 0.000 0.500 0.500
Rh1 Rh 0.000 0.154 0.000
# Density of states at the Fermi level: 13.10 states/eV/f.u.
# E_tot: -8.46 eV per atom

=====

Entry 6:
# KNbBi2O6, relaxed, DFT PBE
data_KNbBi2O6
_chemical_formula_sum 'K4 Nb4 Bi8 O24'
_symmetry_space_group_name_H-M 'C 1 2/c 1'
_symmetry_Int_Tables_number 15
_symmetry_space_group_name_Hall '-C 2yc'
_cell_length_a 10.916
_cell_length_b 10.308
_cell_length_c 6.340
_cell_angle_alpha 90.00
_cell_angle_beta 90.62
_cell_angle_gamma 90.00
loop_
_atom_site_label
_atom_site_type_symbol
_atom_site_fract_x
_atom_site_fract_y
_atom_site_fract_z
K1 K 0.000 0.082 0.250
Nb1 Nb 0.000 0.269 0.750
Bi1 Bi 0.164 0.387 0.329
O1 O 0.035 0.320 0.043
O2 O 0.120 0.141 0.684
O3 O 0.156 0.424 0.689
# Density of states at the Fermi level: 0.00 states/eV/f.u.
# E_form (uncorrected): -1.75 eV per atom
# E_tot: -6.61 eV per atom

=====

Entry 7:
# CsPdCl, relaxed, DFT PBE
data_CsPdCl
_chemical_formula_sum 'Cs4 Pd4 Cl4'
_symmetry_space_group_name_H-M 'P n m a'
_symmetry_Int_Tables_number 62
_symmetry_space_group_name_Hall '-P 2ac 2n'
_cell_length_a 10.376
_cell_length_b 4.316
_cell_length_c 9.396
_cell_angle_alpha 90.00
_cell_angle_beta 90.00
_cell_angle_gamma 90.00
loop_
_atom_site_label
_atom_site_type_symbol
_atom_site_fract_x
_atom_site_fract_y
_atom_site_fract_z
Cs1 Cs 0.186 0.250 0.174
Pd1 Pd 0.021 0.250 0.578
Cl1 Cl 0.082 0.250 0.818
# Density of states at the Fermi level: 0.00 states/eV/f.u.
# E_form (uncorrected): -0.77 eV per atom
# E_tot: -3.40 eV per atom
# Polymorph energy (0 for the lowest one): 71 meV per atom

=====

Entry 8:
# HoZn12Au4, relaxed, DFT PBE
data_HoZn12Au4
_chemical_formula_sum 'Ho2 Zn24 Au8'
_symmetry_space_group_name_H-M 'I m -3'
_symmetry_Int_Tables_number 204
_symmetry_space_group_name_Hall '-I 2 2 3'
_cell_length_a 8.839
_cell_length_b 8.839
_cell_length_c 8.839
_cell_angle_alpha 90.00
_cell_angle_beta 90.00
_cell_angle_gamma 90.00
loop_
_atom_site_label
_atom_site_type_symbol
_atom_site_fract_x
_atom_site_fract_y
_atom_site_fract_z
Ho1 Ho 0.000 0.000 0.000
Zn1 Zn 0.000 0.355 0.145
Au1 Au 0.250 0.250 0.250
# Density of states at the Fermi level: 8.25 states/eV/f.u.
# E_tot: -1.91 eV per atom

=====

Entry 9:
# Ca2AlRe, relaxed, DFT PBE
data_Ca2AlRe
_chemical_formula_sum 'Ca4 Al2 Re2'
_symmetry_space_group_name_H-M 'C 1 m 1'
_symmetry_Int_Tables_number 8
_symmetry_space_group_name_Hall 'C -2y'
_cell_length_a 11.088
_cell_length_b 3.369
_cell_length_c 5.405
_cell_angle_alpha 90.00
_cell_angle_beta 111.23
_cell_angle_gamma 90.00
loop_
_atom_site_label
_atom_site_type_symbol
_atom_site_fract_x
_atom_site_fract_y
_atom_site_fract_z
Ca1 Ca 0.000 0.000 0.000
Ca2 Ca 0.195 0.000 0.645
Al1 Al 0.423 0.000 0.432
Re1 Re 0.259 0.500 0.182
# Density of states at the Fermi level: 1.61 states/eV/f.u.
# E_tot: -4.73 eV per atom

=====

Entry 10:
# PaTlBO6, relaxed, DFT PBE
data_PaTlBO6
_chemical_formula_sum 'Pa1 Tl1 B1 O6'
_symmetry_space_group_name_H-M 'P 3 1 2'
_symmetry_Int_Tables_number 149
_symmetry_space_group_name_Hall 'P 3 2'
_cell_length_a 5.1099
_cell_length_b 5.1099
_cell_length_c 4.6864
_cell_angle_alpha 90.00
_cell_angle_beta 90.00
_cell_angle_gamma 120.00
loop_
_atom_site_label
_atom_site_type_symbol
_atom_site_fract_x
_atom_site_fract_y
_atom_site_fract_z
Pa1 Pa 0.0000 0.0000 0.0000
Tl1 Tl 0.3333 0.6667 0.5000
B1 B 0.6667 0.3333 0.5000
O1 O 0.3808 0.0727 0.7218
# Density of states at the Fermi level: 6.58 states/eV/f.u.
# E_form (uncorrected): -1.62 eV per atom
# E_tot: -6.99 eV per atom

=====

Entry 11:
# SrTi2C, relaxed, DFT PBE
data_SrTi2C
_chemical_formula_sum 'Sr4 Ti8 C4'
_symmetry_space_group_name_H-M 'I 41/a m d'
_symmetry_Int_Tables_number 141
_cell_length_a 6.515
_cell_length_b 6.515
_cell_length_c 9.207
_cell_angle_alpha 90.00
_cell_angle_beta 90.00
_cell_angle_gamma 90.00
loop_
_symmetry_equiv_pos_as_xyz
'x,y,z'
'-x,-y,-z'
'-y+1/4,x+3/4,z+1/4'
'y+1/4,-x+3/4,-z+1/4'
'-x+1/2,-y,z+1/2'
'x+1/2,y,-z+1/2'
'y+1/4,-x+1/4,z+3/4'
'-y+1/4,x+1/4,-z+3/4'
'x,-y,-z'
'-x,y,z'
'-y+1/4,-x+1/4,-z+3/4'
'y+1/4,x+1/4,z+3/4'
'-x+1/2,y,-z+1/2'
'x+1/2,-y,z+1/2'
'y+1/4,x+3/4,-z+1/4'
'-y+1/4,-x+3/4,z+1/4'
'x+1/2,y+1/2,z+1/2'
'-x+1/2,-y+1/2,-z+1/2'
'-y+3/4,x+1/4,z+3/4'
'y+3/4,-x+1/4,-z+3/4'
'-x,-y+1/2,z'
'x,y+1/2,-z'
'y+3/4,-x+3/4,z+1/4'
'-y+3/4,x+3/4,-z+1/4'
'x+1/2,-y+1/2,-z+1/2'
'-x+1/2,y+1/2,z+1/2'
'-y+3/4,-x+3/4,-z+1/4'
'y+3/4,x+3/4,z+1/4'
'-x,y+1/2,-z'
'x,-y+1/2,z'
'y+3/4,x+1/4,-z+3/4'
'-y+3/4,-x+1/4,z+3/4'
loop_
_atom_site_label
_atom_site_type_symbol
_atom_site_fract_x
_atom_site_fract_y
_atom_site_fract_z
Sr1 Sr 0.000 0.250 0.375
Ti1 Ti 0.000 0.000 0.000
C1 C 0.000 0.250 0.875
# Density of states at the Fermi level: 4.06 states/eV/f.u.
# E_tot: -6.42 eV per atom

=====

Entry 12:
# Ca2ZnI, relaxed, DFT PBE
data_Ca2ZnI
_chemical_formula_sum 'Ca8 Zn4 I4'
_symmetry_space_group_name_H-M 'F m -3 m'
_symmetry_Int_Tables_number 225
_symmetry_space_group_name_Hall '-F 4 2 3'
_cell_length_a 7.817
_cell_length_b 7.817
_cell_length_c 7.817
_cell_angle_alpha 90.00
_cell_angle_beta 90.00
_cell_angle_gamma 90.00
loop_
_atom_site_label
_atom_site_type_symbol
_atom_site_fract_x
_atom_site_fract_y
_atom_site_fract_z
Ca1 Ca 0.250 0.250 0.250
Zn1 Zn 0.000 0.000 0.000
I1 I 0.000 0.000 0.500
# Density of states at the Fermi level: 4.86 states/eV/f.u.
# E_form (uncorrected): -0.34 eV per atom
# E_tot: -2.04 eV per atom
# Polymorph energy (0 for the lowest one): 284 meV per atom